# 1
Pm2DyZr | PBE | optimized geometry

For the uncorrected energy, the calculation gives -0.400 Ry/atom. As for the volume: 120.5 Å³/cell. For the calculated formation energy, the calculation gives 0.221 eV/atom. The calculation puts the magnetization at 1.426 μB per cell. As for the space group: Fm-3m. The energy above the lowest structure with this stoichiometry comes out at 0.42 eV per formula unit.

The structure in POSCAR format:
```
Pm2DyZr
1.0
-3.842 1.235 3.802
1.131 -0.634 5.391
0.638 4.453 3.242
Pm Zr Dy
2 1 1
direct
0.750 0.750 0.750
0.250 0.250 0.250
0.500 0.500 0.500
0.000 0.000 0.000
```

=====

# 2
LiTlPtO2 | PBE | optimized geometry

For the uncorrected energy, the calculation gives -0.354 Ry/atom. As for the volume: 158.9 Å³/cell. Its formation energy without anion corrections is -774 meV per atom. The calculation puts the magnetization at 0.000 μB per cell. As for the space group: P2/c.

The structure in POSCAR format:
```
LiTlPtO2
1.0
-1.461 3.252 -1.636
-5.724 -2.067 1.004
-0.011 2.947 5.868
O Pt Li Tl
4 2 2 2
direct
0.499 0.795 0.499
0.499 0.205 0.001
0.501 0.205 0.501
0.501 0.795 0.999
0.502 0.000 0.750
0.498 0.000 0.250
0.000 0.000 0.500
0.000 0.000 0.000
0.170 0.500 0.750
0.830 0.500 0.250
```

=====

# 3
CdI3Cl9 | PBE | optimized geometry

For the uncorrected energy, the calculation gives -0.153 Ry/atom. As for the volume: 1210.8 Å³/cell. Its formation energy without anion corrections is -372 meV per atom. The calculation puts the magnetization at 0.000 μB per cell. As for the space group: Cc.

The structure in POSCAR format:
```
CdI3Cl9
1.0
9.950 0.000 4.187
4.563 8.988 3.071
0.149 -0.315 13.561
Cl Cd I
18 2 6
direct
0.180 0.680 0.811
0.946 0.465 0.503
0.329 0.180 0.311
0.378 0.065 0.620
0.821 0.821 0.587
0.796 0.651 0.866
0.687 0.151 0.366
0.086 0.965 0.003
0.611 0.798 0.377
0.214 0.298 0.877
0.770 0.321 0.087
0.000 0.796 0.268
0.320 0.677 0.465
0.538 0.177 0.965
0.935 0.296 0.768
0.049 0.042 0.409
0.500 0.542 0.909
0.937 0.565 0.120
0.638 0.939 0.481
0.941 0.439 0.981
0.880 0.542 0.676
0.313 0.916 0.395
0.902 0.042 0.176
0.129 0.365 0.219
0.288 0.865 0.719
0.376 0.416 0.895
```